# DyTcMo

An optimized crystal structure of DyTcMo (PBE-GGA, the Alexandria database).

Summary:
ΔE to the lowest computed polymorph = 0.327 eV/atom
Density of states at the Fermi level = 3.87 states/eV/f.u.
Energy of formation = 0.795 eV per formula unit
SG = Fmmm, No. 69
Total energy = -50.01 eV for the cell shown

a b c (Å): 6.4626 5.5932 5.1182
angles (deg): 74.07 56.33 49.60
With the nearest neighbours (Å) after each atom.
Sites, in units of the cell vectors:
Dy 0.1715 0.8285 0.1715  4 Tc 2.88, 3 Dy 2.94-3.11, 2 Mo 3.19
Dy 0.8285 0.1715 0.8285  4 Tc 2.88, 3 Dy 2.94-3.11, 2 Mo 3.19
Tc 0.2500 0.2500 0.2500  4 Mo 2.72, 2 Tc 2.80, 4 Dy 2.88
Tc 0.7500 0.7500 0.7500  4 Mo 2.72, 2 Tc 2.80, 4 Dy 2.88
Mo 0.3442 0.3442 0.6558  4 Tc 2.72, 1 Mo 3.02
Mo 0.6558 0.6558 0.3442  4 Tc 2.72, 1 Mo 3.02